[1]
First-principles (PBE-GGA) data for Zr2TcAgH after structural relaxation, as listed in the Alexandria database.

Geometry as POSCAR:
```
Zr2TcAgH
1.0
4.594 0.000 0.000
0.000 4.594 0.000
0.000 0.000 3.718
Zr Tc Ag H
2 1 1 1
Direct
0.000 0.500 0.000
0.500 0.000 0.000
0.000 0.000 0.500
0.500 0.500 0.500
0.000 0.000 0.000
```

Calculated values
SG: P4/mmm
VASP energy (eV per atom): -6.92
Magnetic moment (μB per cell): 0.000

---

[2]
First-principles (PBE-GGA) data for Re2MoSe after structural relaxation, as listed in the Alexandria database.

Geometry as POSCAR:
```
Re2MoSe
1.0
2.993 0.000 0.000
0.000 2.993 0.000
0.000 0.000 6.848
Re Mo Se
2 1 1
Direct
0.000 0.000 0.000
0.500 0.500 0.241
0.500 0.500 0.732
0.000 0.000 0.501
```

Calculated values
SG: P4mm
Magnetic moment (μB per cell): 0.000
Formation energy without anion corrections (eV per formula unit): 0.6

---

[3]
First-principles (PBE-GGA) data for Zn4AgSe after structural relaxation, as listed in the Alexandria database.

Geometry as POSCAR:
```
Zn4AgSe
1.0
0.000 3.718 3.718
3.718 0.000 3.718
3.718 3.718 0.000
Zn Ag Se
4 1 1
Direct
0.125 0.125 0.125
0.125 0.125 0.625
0.125 0.625 0.125
0.625 0.125 0.125
0.500 0.500 0.500
0.750 0.750 0.750
```

Calculated values
SG: F-43m
Magnetic moment (μB per cell): 0.000
Formation energy without anion corrections (eV per formula unit): 1.0

---

[4]
First-principles (PBE-GGA) data for TmNi2Pt after structural relaxation, as listed in the Alexandria database.

Geometry as POSCAR:
```
TmNi2Pt
1.0
0.000 3.117 3.117
3.117 0.000 3.117
3.117 3.117 0.000
Tm Ni Pt
1 2 1
Direct
0.000 0.000 0.000
0.250 0.250 0.250
0.750 0.750 0.750
0.500 0.500 0.500
```

Calculated values
Formation enthalpy at 0 K (meV per atom): -506.5
SG: Fm-3m
Magnetic moment (μB per cell): 0.000

---

[5]
First-principles (PBE-GGA) data for VCo3Pt after structural relaxation, as listed in the Alexandria database.

Geometry as POSCAR:
```
VCo3Pt
1.0
4.904 0.000 0.000
0.000 9.855 0.000
0.000 0.000 2.616
V Co Pt
2 6 2
Direct
0.000 0.082 0.000
0.500 0.918 0.500
0.000 0.872 0.496
0.234 0.282 0.497
0.266 0.718 0.997
0.500 0.128 0.996
0.734 0.718 0.997
0.766 0.282 0.497
0.000 0.523 0.498
0.500 0.477 0.998
```

Calculated values
Formation enthalpy at 0 K (meV per atom): 68.2
SG: Pmn2_1
Magnetic moment (μB per cell): 7.586

---

[6]
First-principles (PBE-GGA) data for PdPbS after structural relaxation, as listed in the Alexandria database.

Geometry as POSCAR:
```
PdPbS
1.0
4.442 0.000 0.000
1.770 5.554 0.000
1.957 -0.198 5.561
Pd Pb S
2 2 2
Direct
0.238 0.325 0.318
0.762 0.675 0.682
0.461 0.251 0.756
0.539 0.749 0.244
0.182 0.772 0.770
0.818 0.228 0.230
```

Calculated values
SG: P-1
Magnetic moment (μB per cell): 0.000
Formation energy without anion corrections (eV per formula unit): -0.8

---

[7]
First-principles (PBE-GGA) data for Be2NiCl after structural relaxation, as listed in the Alexandria database.

Geometry as POSCAR:
```
Be2NiCl
1.0
2.734 0.000 0.000
0.000 3.669 0.000
0.000 0.000 5.188
Be Ni Cl
2 1 1
Direct
0.000 0.000 0.000
0.500 0.500 0.000
0.000 0.500 0.500
0.500 0.000 0.500
```

Calculated values
SG: Pmmm
Magnetic moment (μB per cell): 0.000
Formation energy without anion corrections (eV per formula unit): 2.3

---

[8]
First-principles (PBE-GGA) data for CrSiMo3 after structural relaxation, as listed in the Alexandria database.

Geometry as POSCAR:
```
CrSiMo3
1.0
4.454 0.000 0.000
0.000 4.454 0.000
0.000 0.000 4.454
Cr Si Mo
1 1 3
Direct
0.000 0.000 0.000
0.500 0.500 0.500
0.000 0.000 0.500
0.000 0.500 0.000
0.500 0.000 0.000
```

Calculated values
SG: Pm-3m
Magnetic moment (μB per cell): 0.000
Formation energy without anion corrections (eV per formula unit): 6.4